# PBE Rb2Na16Li, relaxed
# final energy = -24.3 eV for the cell shown
# N(E_F) = 10.67 states/eV per cell
# formation enthalpy at 0 K = 34.2 meV per atom
# space-group type = R3m, No. 160
data_Rb2Na16Li
_chemical_formula_sum 'Rb2 Na16 Li1'
_space_group_name_H-M_alt 'P 1'
_space_group_IT_number 1
_cell_length_a 9.3397
_cell_length_b 9.3397
_cell_length_c 9.3397
_cell_angle_alpha 82.59
_cell_angle_beta 82.59
_cell_angle_gamma 82.59
loop_
_space_group_symop_operation_xyz
'x,y,z'
loop_
_atom_site_label
_atom_site_fract_x
_atom_site_fract_y
_atom_site_fract_z
Na1 0.9960 0.5085 0.9960
Na2 0.5085 0.9960 0.9960
Na3 0.6540 0.1417 0.6540
Na4 0.3482 0.8548 0.3482
Na5 0.2867 0.7122 0.9990
Na6 0.9990 0.7122 0.2867
Na7 0.3482 0.3482 0.8548
Na8 0.8548 0.3482 0.3482
Na9 0.7122 0.2867 0.9990
Na10 0.6540 0.6540 0.1417
Na11 0.2867 0.9990 0.7122
Na12 0.9990 0.2867 0.7122
Na13 0.0937 0.0937 0.0937
Na14 0.1417 0.6540 0.6540
Na15 0.9960 0.9960 0.5085
Na16 0.7122 0.9990 0.2867
Li1 0.9062 0.9062 0.9062
Rb1 0.3422 0.3422 0.3422
Rb2 0.6607 0.6607 0.6607